VASP calculation (PBE-GGA) on a relaxed Pu3Si2Ni2 crystal.

## Properties
The formation energy without anion corrections is -0.461 eV per atom. The space group is Pbcm (57).

a b c (Å): 5.460 7.730 12.335
angles (deg): 90.00 90.00 90.00
Positions (direct):
Pu (0.132, 0.617, 0.100)
Pu (0.868, 0.383, 0.600)
Pu (0.868, 0.117, 0.400)
Pu (0.132, 0.883, 0.900)
Pu (0.868, 0.383, 0.900)
Pu (0.132, 0.617, 0.400)
Pu (0.132, 0.883, 0.600)
Pu (0.868, 0.117, 0.100)
Pu (0.329, 0.271, 0.250)
Pu (0.671, 0.729, 0.750)
Pu (0.671, 0.771, 0.250)
Pu (0.329, 0.229, 0.750)
Si (0.355, 0.250, 0.000)
Si (0.645, 0.750, 0.500)
Si (0.645, 0.750, 0.000)
Si (0.355, 0.250, 0.500)
Si (0.822, 0.412, 0.250)
Si (0.178, 0.588, 0.750)
Si (0.178, 0.912, 0.250)
Si (0.822, 0.088, 0.750)
Ni (0.608, 0.469, 0.088)
Ni (0.392, 0.531, 0.588)
Ni (0.392, 0.969, 0.412)
Ni (0.608, 0.031, 0.912)
Ni (0.392, 0.531, 0.912)
Ni (0.608, 0.469, 0.412)
Ni (0.608, 0.031, 0.588)
Ni (0.392, 0.969, 0.088)

=====

VASP calculation (PBE-GGA) on a relaxed Cs2K3Rb6Hg crystal.

## Properties
The value obtained for the formation enthalpy at 0 K is -0.017 eV per atom. The space group is C2/m (12).

a b c (Å): 4.911 12.913 17.356
angles (deg): 111.84 73.90 90.00
Positions (direct):
Cs (0.197, 0.648, 0.297)
Cs (0.803, 0.352, 0.703)
K (0.000, 0.500, 0.000)
K (0.500, 0.500, 0.500)
K (0.500, 0.000, 0.500)
Rb (0.844, 0.252, 0.141)
Rb (0.156, 0.748, 0.859)
Rb (0.867, 0.820, 0.640)
Rb (0.133, 0.180, 0.360)
Rb (0.156, 0.110, 0.859)
Rb (0.844, 0.890, 0.141)
Hg (0.500, 0.000, 0.000)

=====

Computed spin magnetization, in the same sequence as the records: 16.31, 0.00 μB per formula unit.
Computed mass density, in the same sequence as the records: 11554, 1868 kg/m3.
Computed energy, in the same sequence as the records: -9.80, -0.94 eV per atom.